Record 1
# KCaZn, optimized geometry, DFT PBE
# crystal system: tetragonal
# E: -8.44 eV/cell
# formation enthalpy at 0 K: 51 meV per atom
data_KCaZn
_cell_length_a 3.8999
_cell_length_b 3.8999
_cell_length_c 14.7727
_cell_angle_alpha 90.00
_cell_angle_beta 90.00
_cell_angle_gamma 90.00
_symmetry_space_group_name_H-M 'I 4 m m'
_symmetry_Int_Tables_number 107
_symmetry_space_group_name_Hall 'I 4 -2'
loop_
_atom_site_label
_atom_site_type_symbol
_atom_site_fract_x
_atom_site_fract_y
_atom_site_fract_z
K1 K 0.0000 0.0000 0.0000
Ca1 Ca 0.0000 0.0000 0.2641
Zn1 Zn 0.0000 0.0000 0.6633


Record 2
# PrHo2Cu3, optimized geometry, DFT PBE
# crystal system: tetragonal
# E: -27.54 eV/cell
# formation enthalpy at 0 K: -219 meV per atom
data_PrHo2Cu3
_cell_length_a 3.4875
_cell_length_b 3.4875
_cell_length_c 10.6096
_cell_angle_alpha 90.00
_cell_angle_beta 90.00
_cell_angle_gamma 90.00
_symmetry_space_group_name_H-M 'P 4/m m m'
_symmetry_Int_Tables_number 123
_symmetry_space_group_name_Hall '-P 4 2'
loop_
_atom_site_label
_atom_site_type_symbol
_atom_site_fract_x
_atom_site_fract_y
_atom_site_fract_z
Pr1 Pr 0.0000 0.0000 0.0000
Ho1 Ho 0.0000 0.0000 0.3387
Cu1 Cu 0.5000 0.5000 0.1860
Cu2 Cu 0.5000 0.5000 0.5000


Record 3
# CaCuTe2, optimized geometry, DFT PBE
# crystal system: monoclinic
# E: -15.05 eV/cell
# ΔE_f (raw): -2.7 eV per formula unit
data_CaCuTe2
_cell_length_a 4.2225
_cell_length_b 4.3239
_cell_length_c 6.7551
_cell_angle_alpha 90.00
_cell_angle_beta 107.93
_cell_angle_gamma 90.00
_symmetry_space_group_name_H-M 'P 1 m 1'
_symmetry_Int_Tables_number 6
loop_
_symmetry_equiv_pos_as_xyz
'x,y,z'
'x,-y,z'
loop_
_atom_site_label
_atom_site_type_symbol
_atom_site_fract_x
_atom_site_fract_y
_atom_site_fract_z
Ca1 Ca 0.0000 0.0000 0.0000
Cu1 Cu 0.6297 0.5000 0.2371
Te1 Te 0.4171 0.5000 0.8458
Te2 Te 0.7631 0.0000 0.4339


Record 4
# Cs2Tl2Hg, optimized geometry, DFT PBE
# crystal system: orthorhombic
# E: -14.70 eV/cell
# ΔE to the lowest computed polymorph: 0.0 meV/atom
# formation enthalpy at 0 K: -121 meV per atom
data_Cs2Tl2Hg
_cell_length_a 5.5240
_cell_length_b 6.5685
_cell_length_c 12.9450
_cell_angle_alpha 90.00
_cell_angle_beta 90.00
_cell_angle_gamma 90.00
_symmetry_space_group_name_H-M 'I m m m'
_symmetry_Int_Tables_number 71
_symmetry_space_group_name_Hall '-I 2 2'
loop_
_atom_site_label
_atom_site_type_symbol
_atom_site_fract_x
_atom_site_fract_y
_atom_site_fract_z
Cs1 Cs 0.0000 0.0000 0.1861
Tl1 Tl 0.0000 0.2419 0.5000
Hg1 Hg 0.0000 0.5000 0.0000


Record 5
# NpSi2Au, optimized geometry, DFT PBE
# crystal system: trigonal
# E: -82.33 eV/cell
# ΔE_f (raw): -0.4 eV per formula unit
data_NpSi2Au
_cell_length_a 4.1680
_cell_length_b 4.1680
_cell_length_c 15.0093
_cell_angle_alpha 90.00
_cell_angle_beta 90.00
_cell_angle_gamma 120.00
_symmetry_space_group_name_H-M 'R -3 m'
_symmetry_Int_Tables_number 166
_symmetry_space_group_name_Hall '-R 3 2"'
loop_
_atom_site_label
_atom_site_type_symbol
_atom_site_fract_x
_atom_site_fract_y
_atom_site_fract_z
Np1 Np 0.0000 0.0000 0.0000
Si1 Si 0.0000 0.0000 0.2275
Au1 Au 0.0000 0.0000 0.5000


Record 6
# TiZnCo, optimized geometry, DFT PBE
# crystal system: tetragonal
# E: -34.17 eV/cell
# formation enthalpy at 0 K: -271 meV per atom
data_TiZnCo
_cell_length_a 2.9132
_cell_length_b 2.9132
_cell_length_c 9.6192
_cell_angle_alpha 90.00
_cell_angle_beta 90.00
_cell_angle_gamma 90.00
_symmetry_space_group_name_H-M 'P 4 m m'
_symmetry_Int_Tables_number 99
loop_
_symmetry_equiv_pos_as_xyz
'x,y,z'
'-y,x,z'
'-x,-y,z'
'y,-x,z'
'-x,y,z'
'y,x,z'
'x,-y,z'
'-y,-x,z'
loop_
_atom_site_label
_atom_site_type_symbol
_atom_site_fract_x
_atom_site_fract_y
_atom_site_fract_z
Ti1 Ti 0.0000 0.0000 0.0000
Ti2 Ti 0.0000 0.0000 0.3236
Zn1 Zn 0.0000 0.0000 0.7000
Zn2 Zn 0.5000 0.5000 0.5241
Co1 Co 0.5000 0.5000 0.1568
Co2 Co 0.5000 0.5000 0.8584


Record 7
# HfFeMo, optimized geometry, DFT PBE
# crystal system: orthorhombic
# E: -173.32 eV/cell
# ΔE to the lowest computed polymorph: 293.6 meV/atom
# formation enthalpy at 0 K: 120 meV per atom
data_HfFeMo
_cell_length_a 4.2880
_cell_length_b 10.8866
_cell_length_c 6.3076
_cell_angle_alpha 90.00
_cell_angle_beta 90.00
_cell_angle_gamma 90.00
_symmetry_space_group_name_H-M 'A m m 2'
_symmetry_Int_Tables_number 38
loop_
_symmetry_equiv_pos_as_xyz
'x,y,z'
'-x,-y,z'
'-x,y,z'
'x,-y,z'
'x,y+1/2,z+1/2'
'-x,-y+1/2,z+1/2'
'-x,y+1/2,z+1/2'
'x,-y+1/2,z+1/2'
loop_
_atom_site_label
_atom_site_type_symbol
_atom_site_fract_x
_atom_site_fract_y
_atom_site_fract_z
Hf1 Hf 0.0000 0.0000 0.0000
Hf2 Hf 0.0000 0.2238 0.6752
Fe1 Fe 0.5000 0.0000 0.6844
Fe2 Fe 0.5000 0.1181 0.3321
Mo1 Mo 0.0000 0.0000 0.4464
Mo2 Mo 0.5000 0.1673 0.9536


Record 8
# Si5Se, optimized geometry, DFT PBE
# crystal system: orthorhombic
# E: -57.66 eV/cell
# ΔE to the lowest computed polymorph: 0.0 meV/atom
# ΔE_f (raw): 1.8 eV per formula unit
data_Si5Se
_cell_length_a 3.7444
_cell_length_b 10.7909
_cell_length_c 5.1002
_cell_angle_alpha 90.00
_cell_angle_beta 90.00
_cell_angle_gamma 90.00
_symmetry_space_group_name_H-M 'C m m m'
_symmetry_Int_Tables_number 65
_symmetry_space_group_name_Hall '-C 2 2'
loop_
_atom_site_label
_atom_site_type_symbol
_atom_site_fract_x
_atom_site_fract_y
_atom_site_fract_z
Si1 Si 0.0000 0.0000 0.0000
Si2 Si 0.0000 0.3223 0.5000
Si3 Si 0.0000 0.3400 0.0000
Se1 Se 0.0000 0.0000 0.5000


| no. | DOS at the Fermi energy (states/eV/f.u.) |
| --- | --- |
| 1 | 3.56 |
| 2 | 2.80 |
| 3 | 2.52 |
| 4 | 3.49 |
| 5 | 7.29 |
| 6 | 1.71 |
| 7 | 3.67 |
| 8 | 2.07 |